#w
This record from Alexandria via LeMat-Bulk describes an optimized crystal structure of NbV2HOs. The functional is PBE-GGA.

The structure in POSCAR format:
```
NbV2HOs
1.0
3.769 0.000 0.000
0.000 3.769 0.000
0.000 0.000 4.385
Nb V H Os
1 2 1 1
Direct
0.000 0.000 0.000
0.000 0.500 0.500
0.500 0.000 0.500
0.000 0.000 0.500
0.500 0.500 0.000
```

Properties
Spin magnetization ... 0.00 μB per formula unit
Fermi-level density of states ... 3.768 states/eV per cell
V ... 12.459 A^3/atom

=====

#x
This record from Alexandria via LeMat-Bulk describes an optimized crystal structure of NbV2HOs. The functional is PBE-GGA.

The structure in POSCAR format:
```
NbV2HOs
1.0
4.196 0.000 0.000
0.000 4.196 0.000
0.000 0.000 3.456
Nb V H Os
1 2 1 1
Direct
0.000 0.000 0.000
0.000 0.500 0.500
0.500 0.000 0.500
0.500 0.500 0.500
0.500 0.500 0.000
```

Properties
Spin magnetization ... 0.00 μB per formula unit
Fermi-level density of states ... 1.857 states/eV per cell
V ... 12.172 A^3/atom

=====

Pick #w: it beats the second-best structure by 1.8 kJ/mol of atoms.

=====

#w
This record from Alexandria via LeMat-Bulk describes an optimized crystal structure of Nb2HOsW. The functional is PBE-GGA.

The structure in POSCAR format:
```
Nb2HOsW
1.0
4.451 0.000 0.000
0.000 4.451 0.000
0.000 0.000 3.515
Nb H Os W
2 1 1 1
Direct
0.000 0.500 0.000
0.500 0.000 0.000
0.000 0.000 0.000
0.500 0.500 0.500
0.000 0.000 0.500
```

Properties
Spin magnetization ... 0.00 μB per formula unit
Fermi-level density of states ... 4.859 states/eV per cell
V ... 13.927 A^3/atom

=====

#x
This record from Alexandria via LeMat-Bulk describes an optimized crystal structure of Nb2HOsW. The functional is PBE-GGA.

The structure in POSCAR format:
```
Nb2HOsW
1.0
4.448 0.000 0.000
0.000 4.448 0.000
0.000 0.000 3.524
Nb H Os W
2 1 1 1
Direct
0.000 0.500 0.000
0.500 0.000 0.000
0.000 0.000 0.000
0.000 0.000 0.500
0.500 0.500 0.500
```

Properties
Spin magnetization ... 0.00 μB per formula unit
Fermi-level density of states ... 3.815 states/eV per cell
V ... 13.946 A^3/atom

=====

Pick #x: it beats the second-best structure by 5.4 kJ/mol of atoms.